{"formula": "MgTl2Ir", "functional": "PBE", "state": "optimized geometry", "total_energy_ev_per_cell": -13.9, "total_magnetization_mub_per_fu": 0.000, "crystal_system": "cubic", "lattice": [[4.939, 0.000, 0.000], [2.469, 4.277, 0.000], [2.469, 1.426, 4.033]], "species": ["Ir", "Mg", "Tl", "Tl"], "frac_coords": [[0.500, 0.500, 0.500], [0.750, 0.750, 0.750], [0.250, 0.250, 0.250], [0.000, 0.000, 0.000]]}

{"formula": "Mg2TlIr", "functional": "PBE", "state": "optimized geometry", "total_energy_ev_per_cell": -14.7, "total_magnetization_mub_per_fu": 0.000, "crystal_system": "tetragonal", "lattice": [[5.142, -0.027, -0.027], [3.454, 3.810, -0.027], [1.734, 0.763, 3.738]], "species": ["Mg", "Mg", "Tl", "Ir"], "frac_coords": [[0.500, 0.500, 0.500], [0.000, 0.000, 0.000], [0.750, 0.750, 0.750], [0.250, 0.250, 0.250]]}

{"formula": "MgTl2Ir", "functional": "PBE", "state": "optimized geometry", "total_energy_ev_per_cell": -14.1, "total_magnetization_mub_per_fu": 0.000, "crystal_system": "cubic", "lattice": [[-1.512, -3.742, 2.699], [-4.410, -1.896, -0.732], [-0.449, -4.405, -1.992]], "species": ["Ir", "Mg", "Tl", "Tl"], "frac_coords": [[0.500, 0.500, 0.500], [0.000, 0.000, 0.000], [0.750, 0.750, 0.750], [0.250, 0.250, 0.250]]}

{"formula": "MgTl2Ir", "functional": "PBE", "state": "optimized geometry", "total_energy_ev_per_cell": -13.9, "total_magnetization_mub_per_fu": 0.000, "crystal_system": "tetragonal", "lattice": [[4.342, 0.617, 0.000], [-0.621, 4.342, 0.000], [0.000, 0.000, 4.239]], "species": ["Tl", "Tl", "Ir", "Mg"], "frac_coords": [[0.500, 0.500, 0.000], [0.000, 0.000, 0.000], [0.500, 0.000, 0.500], [0.000, 0.500, 0.500]]}

{"formula": "Mg2TlIr", "functional": "PBE", "state": "optimized geometry", "total_energy_ev_per_cell": -14.5, "total_magnetization_mub_per_fu": 0.000, "crystal_system": "cubic", "lattice": [[-4.470, -1.468, 0.087], [-2.145, -1.250, -3.998], [-1.008, -4.524, -0.814]], "species": ["Mg", "Mg", "Ir", "Tl"], "frac_coords": [[0.250, 0.250, 0.250], [0.000, 0.000, 0.000], [0.500, 0.500, 0.500], [0.750, 0.750, 0.750]]}

{"formula": "MgTlIr", "functional": "PBE", "state": "optimized geometry", "total_energy_ev_per_cell": -12.7, "total_magnetization_mub_per_fu": 0.000, "crystal_system": "orthorhombic", "lattice": [[-2.862, 1.925, -3.946], [-0.884, -2.541, -4.498], [-0.279, -0.332, 5.223]], "species": ["Tl", "Mg", "Ir"], "frac_coords": [[0.663, 0.663, 0.000], [0.352, 0.352, 0.000], [0.986, 0.986, 0.000]]}

{"formula": "MgTlIr2", "functional": "PBE", "state": "optimized geometry", "total_energy_ev_per_cell": -21.1, "total_magnetization_mub_per_fu": 0.000, "crystal_system": "orthorhombic", "lattice": [[3.021, 0.000, 0.000], [0.000, 3.754, 0.000], [0.000, 0.000, 5.974]], "species": ["Mg", "Ir", "Ir", "Tl"], "frac_coords": [[0.500, 0.500, 0.250], [0.000, 0.000, 0.483], [0.000, 0.000, 0.017], [0.500, 0.500, 0.750]]}

{"formula": "MgTlIr", "functional": "PBE", "state": "optimized geometry", "total_energy_ev_per_cell": -24.4, "total_magnetization_mub_per_fu": 0.000, "crystal_system": "orthorhombic", "lattice": [[3.042, 0.000, 0.000], [-1.521, 2.636, 0.000], [0.000, 0.000, 14.830]], "species": ["Mg", "Mg", "Tl", "Tl", "Ir", "Ir"], "frac_coords": [[0.618, 0.237, 0.000], [0.275, 0.551, 0.500], [0.277, 0.554, 0.199], [0.277, 0.554, 0.801], [0.609, 0.219, 0.640], [0.609, 0.219, 0.360]]}

{"formula": "MgTlIr2", "functional": "PBE", "state": "optimized geometry", "total_energy_ev_per_cell": -21.3, "total_magnetization_mub_per_fu": 0.000, "crystal_system": "tetragonal", "lattice": [[-2.123, -2.956, -2.667], [2.016, -3.405, 2.169], [-2.510, -0.125, 2.137]], "species": ["Ir", "Ir", "Tl", "Mg"], "frac_coords": [[0.000, 0.000, 0.000], [0.500, 0.500, 0.000], [0.000, 0.500, 0.500], [0.500, 0.000, 0.500]]}

{"formula": "MgTlIr2", "functional": "PBE", "state": "optimized geometry", "total_energy_ev_per_cell": -20.6, "total_magnetization_mub_per_fu": 0.164, "crystal_system": "trigonal", "lattice": [[9.644, 0.041, 0.024], [9.192, 2.916, 0.024], [9.192, 1.443, 2.534]], "species": ["Tl", "Mg", "Ir", "Ir"], "frac_coords": [[0.750, 0.750, 0.750], [0.250, 0.250, 0.250], [0.991, 0.991, 0.991], [0.509, 0.509, 0.509]]}

{"formula": "Mg2TlIr", "functional": "PBE", "state": "optimized geometry", "total_energy_ev_per_cell": -14.6, "total_magnetization_mub_per_fu": 0.000, "crystal_system": "monoclinic", "lattice": [[5.324, 0.011, 0.019], [4.315, 3.118, 0.019], [1.327, 0.431, 4.589]], "species": ["Mg", "Mg", "Ir", "Tl"], "frac_coords": [[0.975, 0.975, 0.039], [0.753, 0.753, 0.742], [0.255, 0.255, 0.226], [0.517, 0.517, 0.493]]}

{"formula": "MgTl2Ir", "functional": "PBE", "state": "optimized geometry", "total_energy_ev_per_cell": -14.8, "total_magnetization_mub_per_fu": 0.000, "crystal_system": "monoclinic", "lattice": [[-3.472, 1.662, 0.887], [-1.087, -2.853, 1.092], [1.919, 0.123, 7.283]], "species": ["Ir", "Mg", "Tl", "Tl"], "frac_coords": [[0.000, 0.277, 0.575], [0.500, 0.726, 0.672], [0.500, 0.416, 0.292], [0.000, 0.081, 0.962]]}

Number 1: ΔH_f (0 K) 0.32 eV per atom. Number 2: ΔH_f (0 K) -0.06 eV per atom. Number 3: ΔH_f (0 K) 0.27 eV per atom. Number 4: ΔH_f (0 K) 0.31 eV per atom. Number 5: ΔH_f (0 K) -0.02 eV per atom. Number 6: ΔH_f (0 K) 0.03 eV per atom. Number 7: ΔH_f (0 K) 0.15 eV per atom. Number 8: ΔH_f (0 K) 0.21 eV per atom. Number 9: ΔH_f (0 K) 0.10 eV per atom. Number 10: ΔH_f (0 K) 0.27 eV per atom. Number 11: ΔH_f (0 K) -0.05 eV per atom. Number 12: ΔH_f (0 K) 0.09 eV per atom.